# 1
Here is SmDy7Tm3 after structural relaxation from Alexandria via LeMat-Bulk. Energies are from GGA-PBE.

## Properties
Electronic total energy   -48.19 eV per cell
Total magnetization   0.000 μB per atom
Energy above the lowest structure with this stoichiometry   0.053 eV/atom

Structure (POSCAR):
```
SmDy7Tm3
1.0
8.536 0.000 0.000
0.000 7.027 0.000
0.000 -3.514 6.086
Sm Dy Tm
1 7 3
Cartesian
3.804 0.000 4.057 Sm
0.980 -1.743 5.063 Dy
0.980 0.000 2.045 Dy
1.023 3.514 2.029 Dy
3.850 5.256 1.023 Dy
3.850 1.771 1.023 Dy
3.850 3.514 4.041 Dy
0.980 1.743 5.063 Dy
6.692 1.761 3.041 Tm
6.692 3.514 0.004 Tm
6.692 5.267 3.041 Tm
```

# 2
Here is BaSb2RhO8 after structural relaxation from Alexandria via LeMat-Bulk. Energies are from GGA-PBE.

## Properties
Electronic total energy   -71.75 eV per cell
Total magnetization   0.000 μB per atom
Formation energy without anion corrections   -1.214 eV per atom

Structure (POSCAR):
```
BaSb2RhO8
1.0
5.011 0.143 -0.001
0.204 4.951 -0.002
0.009 0.012 6.636
Ba Sb Rh O
1 2 1 8
Cartesian
0.004 0.006 3.318 Ba
2.614 2.555 5.027 Sb
2.610 2.551 1.606 Sb
0.000 0.000 0.000 Rh
1.005 3.679 1.348 O
3.506 3.751 6.634 O
4.210 1.416 1.347 O
4.220 1.427 5.285 O
1.718 1.355 -0.001 O
1.014 3.690 5.286 O
3.179 3.611 3.314 O
2.046 1.494 3.319 O
```

# 3
Here is Tb5InHg after structural relaxation from Alexandria via LeMat-Bulk. Energies are from GGA-PBE.

## Properties
Electronic total energy   -54.09 eV per cell
Total magnetization   0.000 μB per atom

Structure (POSCAR):
```
Tb5InHg
1.0
5.948 -1.223 -1.199
0.727 6.029 -1.199
1.454 1.047 10.883
Tb In Hg
10 2 2
Cartesian
0.837 3.718 0.963 Tb
2.473 3.036 4.337 Tb
4.519 0.137 6.404 Tb
5.665 -0.062 1.522 Tb
3.739 3.947 -1.294 Tb
4.390 1.906 9.778 Tb
2.465 5.915 6.963 Tb
3.611 5.716 2.080 Tb
5.657 2.817 4.148 Tb
7.293 2.134 7.522 Tb
3.816 2.506 1.522 In
4.314 3.347 6.963 In
0.000 0.000 0.000 Hg
0.727 0.523 5.442 Hg
```

# 4
Here is LaCuNiSn after structural relaxation from Alexandria via LeMat-Bulk. Energies are from GGA-PBE.

## Properties
Electronic total energy   -20.23 eV per cell
Total magnetization   0.000 μB per atom

Structure (POSCAR):
```
LaCuNiSn
1.0
4.801 0.000 0.000
2.400 4.157 0.000
2.400 1.386 3.920
Ni Sn Cu La
1 1 1 1
Cartesian
0.000 0.000 0.000 Ni
2.400 1.386 0.980 Sn
4.801 2.772 1.960 Cu
7.201 4.157 2.940 La
```